No. 1
Below is Ce8Co2Pb3 after structural relaxation, with properties calculated at the PBE level.

Its density of states at the Fermi level is 31.604 states/eV/f.u. The calculation puts the energy of formation from the pure elements at -0.127 eV/atom.

The space group is R-3m (No. 166, hexagonal axes) and the conventional cell measures 6.5126, 6.5126 and 29.6611 Å, with angles of 90.00, 90.00 and 120.00 degrees. Symmetry generates all atoms from Ce at (0.0000, 0.0000, 0.1915), Ce at (0.0428, 0.5214, 0.2689), Co at (0.0000, 0.0000, 0.1162), Pb at (0.0000, 0.0000, 0.2994) and Pb at (0.0000, 0.0000, 0.5000).

***

No. 2
Below is Ce12Co6Pb after structural relaxation, with properties calculated at the PBE level.

Its density of states at the Fermi level is 51.630 states/eV/f.u. The calculation puts the energy of formation from the pure elements at -0.169 eV/atom.

The space group is Im-3 (No. 204) and the conventional cell measures 9.669, 9.669 and 9.669 Å, with angles of 90.00, 90.00 and 90.00 degrees. Symmetry generates all atoms from Ce at (0.000, 0.311, 0.181), Co at (0.000, 0.141, 0.500) and Pb at (0.000, 0.000, 0.000).

***

No. 3
Below is CeCoPb after structural relaxation, with properties calculated at the PBE level.

Its density of states at the Fermi level is 3.037 states/eV/f.u. The calculation puts the energy of formation from the pure elements at -0.242 eV/atom.

The space group is P-1 (No. 2) and the conventional cell measures 4.135, 6.037 and 6.056 Å, with angles of 96.31, 102.88 and 109.08 degrees. Symmetry generates all atoms from Ce at (0.234, 0.216, 0.346), Co at (0.087, 0.372, 0.640) and Pb at (0.385, 0.736, 0.089).

***

No. 4
Below is Ce3CoPb after structural relaxation, with properties calculated at the PBE level.

Its density of states at the Fermi level is 15.111 states/eV/f.u. The energy above the most stable polymorph in this dataset comes out at 0 meV/atom. The calculation puts the energy of formation from the pure elements at -0.289 eV/atom.

The space group is Pm-3m (No. 221) and the conventional cell measures 5.162, 5.162 and 5.162 Å, with angles of 90.00, 90.00 and 90.00 degrees. Symmetry generates all atoms from Ce at (0.000, 0.000, 0.500), Co at (0.000, 0.000, 0.000) and Pb at (0.500, 0.500, 0.500).

***

No. 5
Below is Ce7Co2Pb2 after structural relaxation, with properties calculated at the PBE level.

Its density of states at the Fermi level is 33.282 states/eV/f.u. The calculation puts the energy of formation from the pure elements at -0.115 eV/atom.

The space group is Cmmm (No. 65) and the conventional cell measures 7.930, 11.386 and 6.765 Å, with angles of 90.00, 90.00 and 90.00 degrees. Symmetry generates all atoms from Ce at (0.000, 0.000, 0.000), Ce at (0.000, 0.500, 0.200), Ce at (0.250, 0.250, 0.255), Co at (0.000, 0.272, 0.000) and Pb at (0.186, 0.000, 0.500).

***

No. 6
Below is Ce6PuCoPb2 after structural relaxation, with properties calculated at the PBE level.

Its density of states at the Fermi level is 14.985 states/eV/f.u. The calculation puts the energy of formation from the pure elements at -0.431 eV/atom.

The space group is I4/mmm (No. 139) and the conventional cell measures 7.237, 7.237 and 10.245 Å, with angles of 90.00, 90.00 and 90.00 degrees. Symmetry generates all atoms from Ce at (0.000, 0.000, 0.241), Ce at (0.241, 0.241, 0.000), Pu at (0.000, 0.000, 0.000), Co at (0.000, 0.000, 0.500) and Pb at (0.000, 0.500, 0.250).

***

No. 7
Below is Ce6CoRhPb2 after structural relaxation, with properties calculated at the PBE level.

Its density of states at the Fermi level is 33.062 states/eV/f.u. The calculation puts the energy of formation from the pure elements at -0.309 eV/atom.

The space group is Fmmm (No. 69) and the conventional cell measures 10.529, 10.537 and 10.560 Å, with angles of 90.00, 90.00 and 90.00 degrees. Symmetry generates all atoms from Ce at (0.000, 0.000, 0.244), Ce at (0.000, 0.244, 0.000), Ce at (0.243, 0.000, 0.000), Co at (0.000, 0.000, 0.000), Rh at (0.000, 0.000, 0.500) and Pb at (0.250, 0.250, 0.250).

***

No. 8
Below is Ce6CoRuPb2 after structural relaxation, with properties calculated at the PBE level.

Its density of states at the Fermi level is 32.422 states/eV/f.u. The calculation puts the energy of formation from the pure elements at -0.286 eV/atom.

The space group is I4/mmm (No. 139) and the conventional cell measures 7.413, 7.413 and 10.468 Å, with angles of 90.00, 90.00 and 90.00 degrees. Symmetry generates all atoms from Ce at (0.000, 0.000, 0.245), Ce at (0.246, 0.246, 0.000), Co at (0.000, 0.000, 0.000), Ru at (0.000, 0.000, 0.500) and Pb at (0.000, 0.500, 0.250).